No. 1
VASP calculation (GGA-PBE) on SiTe5 after structural relaxation.

a = 6.2900 Å, b = 6.2900 Å, c = 6.2900 Å
α = 60.00°, β = 60.00°, γ = 60.00°
Fractional positions:
Te (0.2500, 0.2500, 0.2500)
Te (0.6249, 0.6249, 0.6249)
Si (0.0000, 0.0000, 0.0000)
Te (0.1252, 0.6249, 0.6249)
Te (0.6249, 0.6249, 0.1252)
Te (0.6249, 0.1252, 0.6249)

For the volume, the calculation gives 176 Å³ per cell. As for the total moment: 0.000 μB/cell. The energy above the most stable polymorph in this dataset comes out at 642 meV per atom. For the formation energy from raw total energies, the calculation gives 0.7510 eV/atom. Its total energy is -2.77 eV per atom. As for the space-group type: F-43m, No. 216.

No. 2
VASP calculation (GGA-PBE) on RbGePt2 after structural relaxation.

a = 6.7000 Å, b = 7.1073 Å, c = 15.7080 Å
α = 90.00°, β = 90.00°, γ = 90.00°
Fractional positions:
Pt (0.5522, 0.5586, 0.2880)
Ge (0.6891, 0.7500, 0.6986)
Ge (0.4621, 0.2500, 0.5717)
Pt (0.9478, 0.9414, 0.7880)
Pt (0.3706, 0.0630, 0.4371)
Rb (0.3392, 0.7500, 0.1044)
Pt (0.1294, 0.4370, 0.9371)
Rb (0.4661, 0.7500, 0.8832)
Pt (0.1294, 0.0630, 0.9371)
Pt (0.5522, 0.9414, 0.2880)
Rb (0.9661, 0.2500, 0.6168)
Pt (0.6294, 0.9370, 0.5629)
Ge (0.3109, 0.2500, 0.3014)
Ge (0.1891, 0.2500, 0.8014)
Rb (0.8392, 0.2500, 0.3956)
Pt (0.6294, 0.5630, 0.5629)
Rb (0.1608, 0.7500, 0.6044)
Pt (0.0522, 0.0586, 0.2120)
Pt (0.0522, 0.4414, 0.2120)
Ge (0.0379, 0.2500, 0.0717)
Ge (0.5379, 0.7500, 0.4283)
Rb (0.0339, 0.7500, 0.3832)
Pt (0.3706, 0.4370, 0.4371)
Pt (0.8706, 0.9370, 0.0629)
Ge (0.8109, 0.7500, 0.1986)
Rb (0.5339, 0.2500, 0.1168)
Pt (0.9478, 0.5586, 0.7880)
Pt (0.4478, 0.4414, 0.7120)
Pt (0.4478, 0.0586, 0.7120)
Rb (0.6608, 0.2500, 0.8956)
Pt (0.8706, 0.5630, 0.0629)
Ge (0.9621, 0.7500, 0.9283)

For the volume, the calculation gives 748 Å³ per cell. As for the total moment: 0.000 μB/cell. Its total energy is -4.67 eV per atom. The calculation puts the formation energy at -1.03 eV/f.u. As for the space-group type: Pnma, No. 62.

No. 3
VASP calculation (GGA-PBE) on TiCo3H after structural relaxation.

a = 9.4901 Å, b = 6.7099 Å, c = 6.7099 Å
α = 77.71°, β = 123.52°, γ = 56.48°
Last column: magnetic moment on the atom in μB.
Fractional positions:
Co (0.4179, 0.1431, 0.2398)  0.71
Co (0.9076, 0.7855, 0.8424)  1.09
H (0.7500, 0.1987, 0.6987)  -0.01
Ti (0.5649, 0.1550, 0.0053)  -0.39
H (0.7500, 0.4418, 0.9418)  -0.01
H (0.2500, 0.5582, 0.0582)  -0.01
Co (0.9179, 0.2602, 0.3569)  0.68
Co (0.4255, 0.3810, 0.4882)  0.94
Co (0.5821, 0.8569, 0.7602)  0.71
Ti (0.4351, 0.8450, 0.9947)  -0.39
Co (0.0745, 0.9882, 0.8810)  0.93
Co (0.5924, 0.3424, 0.2855)  1.07
Co (0.0821, 0.7398, 0.6431)  0.68
Co (0.4076, 0.6576, 0.7145)  1.07
Co (0.0924, 0.2145, 0.1576)  1.09
Co (0.5745, 0.6190, 0.5118)  0.94
Co (0.9255, 0.0118, 0.1190)  0.93
H (0.2500, 0.8013, 0.3013)  -0.01
Ti (0.9351, 0.5053, 0.6550)  -0.38
Ti (0.0649, 0.4947, 0.3450)  -0.38

For the volume, the calculation gives 198 Å³ per cell. As for the total moment: 8.799 μB/cell. The energy above the most stable polymorph in this dataset comes out at 182 meV per atom. Its total energy is -6.61 eV per atom. As for the space-group type: C2/c, No. 15.

No. 4
VASP calculation (GGA-PBE) on PrCuSb2Rh4 after structural relaxation.

a = 4.4012 Å, b = 4.4012 Å, c = 9.1103 Å
α = 76.02°, β = 76.02°, γ = 60.00°
Fractional positions:
Rh (0.5961, 0.5961, 0.2116)
Sb (0.7621, 0.7621, 0.7136)
Cu (0.5000, 0.5000, 0.5000)
Rh (0.8662, 0.8662, 0.4013)
Pr (0.0000, 0.0000, 0.0000)
Sb (0.2379, 0.2379, 0.2864)
Rh (0.1338, 0.1338, 0.5987)
Rh (0.4039, 0.4039, 0.7884)

For the volume, the calculation gives 147 Å³ per cell. As for the total moment: 0.000 μB/cell. For the formation energy from raw total energies, the calculation gives -0.5011 eV/atom. Its total energy is -6.32 eV per atom. As for the space-group type: R-3m, No. 166.

No. 5
VASP calculation (GGA-PBE) on Er3Th5S8 after structural relaxation.

a = 7.8529 Å, b = 7.8529 Å, c = 8.0638 Å
α = 60.86°, β = 60.86°, γ = 60.00°
Fractional positions:
S (0.2434, 0.2434, 0.2697)
S (0.2503, 0.7636, 0.7357)
S (0.2503, 0.2503, 0.7357)
Er (0.0000, 0.5000, 0.5000)
Th (0.5000, 0.5000, 0.5000)
Th (0.0000, 0.5000, 0.0000)
S (0.7566, 0.7566, 0.7303)
S (0.7497, 0.7497, 0.2643)
S (0.7497, 0.2364, 0.2643)
S (0.7636, 0.2503, 0.7357)
Th (0.0000, 0.0000, 0.0000)
Th (0.5000, 0.5000, 0.0000)
Th (0.5000, 0.0000, 0.0000)
Er (0.0000, 0.0000, 0.5000)
S (0.2364, 0.7497, 0.2643)
Er (0.5000, 0.0000, 0.5000)

For the volume, the calculation gives 356 Å³ per cell. As for the total moment: 0.000 μB/cell. For the formation energy from raw total energies, the calculation gives -1.8744 eV/atom. Its total energy is -7.11 eV per atom. As for the space-group type: R-3m, No. 166.

No. 6
VASP calculation (GGA-PBE) on Ca2SnPdAu6 after structural relaxation.

a = 7.2544 Å, b = 7.2544 Å, c = 7.2544 Å
α = 60.00°, β = 60.00°, γ = 90.00°
Fractional positions:
Au (0.7527, 0.7527, 0.4946)
Pd (0.0000, 0.0000, 0.0000)
Ca (0.7500, 0.2500, 0.5000)
Au (0.7527, 0.2473, 0.0000)
Au (0.2473, 0.2473, 0.5054)
Au (0.2473, 0.7527, 0.0000)
Au (0.2473, 0.2473, 0.0000)
Au (0.7527, 0.7527, 0.0000)
Sn (0.5000, 0.5000, 0.0000)
Ca (0.2500, 0.7500, 0.5000)

For the volume, the calculation gives 270 Å³ per cell. As for the total moment: 0.000 μB/cell. Its total energy is -3.41 eV per atom. The calculation puts the formation energy at -1.27 eV/f.u. As for the space-group type: Fm-3m, No. 225.

No. 7
VASP calculation (GGA-PBE) on Sm4DySn2 after structural relaxation.

a = 5.2279 Å, b = 5.2279 Å, c = 10.6016 Å
α = 75.73°, β = 75.73°, γ = 60.00°
Fractional positions:
Sn (0.6007, 0.6007, 0.1979)
Sm (0.2935, 0.2935, 0.1196)
Sm (0.7065, 0.7065, 0.8804)
Dy (0.5000, 0.5000, 0.5000)
Sm (0.8859, 0.8859, 0.3423)
Sn (0.3993, 0.3993, 0.8021)
Sm (0.1141, 0.1141, 0.6577)

For the volume, the calculation gives 241 Å³ per cell. As for the total moment: 0.003 μB/cell. Its total energy is -4.73 eV per atom. The calculation puts the formation energy at -1.62 eV/f.u. As for the space-group type: R-3m, No. 166.

No. 8
VASP calculation (GGA-PBE) on Pb2C after structural relaxation.

a = 7.2253 Å, b = 7.2253 Å, c = 6.2363 Å
α = 90.00°, β = 90.00°, γ = 151.82°
Fractional positions:
Pb (0.4441, 0.5559, 0.2500)
C (0.0664, 0.9336, 0.2500)
Pb (0.6799, 0.3201, 0.2500)
Pb (0.5559, 0.4441, 0.7500)
C (0.9336, 0.0664, 0.7500)
Pb (0.3201, 0.6799, 0.7500)

For the volume, the calculation gives 154 Å³ per cell. As for the total moment: 0.000 μB/cell. The energy above the most stable polymorph in this dataset comes out at 225 meV per atom. Its total energy is -4.28 eV per atom. The calculation puts the formation energy at 3.81 eV/f.u. As for the space-group type: Cmcm, No. 63.